[1]
First-principles (PBE) data for a geometry-optimized TaO structure, as listed in Alexandria.

Calculated values
The raw formation energy is -1.594 eV per atom. The symmetry is Pmmn, No. 59. As for the total DFT energy (no corrections): -9.9992 eV/atom. The calculation puts the total magnetization at 0.000 μB per atom.

a = 3.0703 Å, b = 5.4111 Å, c = 9.8888 Å
α = 90.00°, β = 90.00°, γ = 90.00°
Element x y z (fractional)
Ta  0.0000  0.9938  0.8628
Ta  0.5000  0.3924  0.0000
Ta  0.5000  0.0062  0.3628
Ta  0.0000  0.6076  0.5000
Ta  0.0000  0.9938  0.1372
Ta  0.5000  0.0062  0.6372
O  0.5000  0.3228  0.5000
O  0.0000  0.6772  0.0000
O  0.0000  0.7265  0.3094
O  0.5000  0.2735  0.8094
O  0.5000  0.2735  0.1906
O  0.0000  0.7265  0.6906



[2]
First-principles (PBE) data for a geometry-optimized TaO structure, as listed in Alexandria.

Calculated values
The raw formation energy is -0.831 eV per atom. The symmetry is Pm-3n, No. 223. As for the total DFT energy (no corrections): -9.2369 eV/atom. The calculation puts the total magnetization at 0.000 μB per atom.

a = 5.8201 Å, b = 5.8201 Å, c = 5.8201 Å
α = 90.00°, β = 90.00°, γ = 90.00°
Element x y z (fractional)
Ta  0.5000  0.7500  0.0000
Ta  0.7500  0.0000  0.5000
Ta  0.5000  0.2500  0.0000
Ta  0.2500  0.0000  0.5000
Ta  0.0000  0.5000  0.2500
Ta  0.0000  0.5000  0.7500
O  0.0000  0.7500  0.5000
O  0.5000  0.0000  0.2500
O  0.5000  0.0000  0.7500
O  0.2500  0.5000  0.0000
O  0.7500  0.5000  0.0000
O  0.0000  0.2500  0.5000



[3]
First-principles (PBE) data for a geometry-optimized Ta2O5 structure, as listed in Alexandria.

Calculated values
The raw formation energy is -2.519 eV per atom. The symmetry is Pmmm, No. 47. As for the total DFT energy (no corrections): -9.4473 eV/atom. The calculation puts the total magnetization at 0.000 μB per atom.

a = 3.6994 Å, b = 3.8916 Å, c = 6.5270 Å
α = 90.00°, β = 90.00°, γ = 90.00°
Element x y z (fractional)
O  0.5000  0.5000  0.5000
O  0.0000  0.0000  0.6796
O  0.0000  0.5000  0.0000
O  0.5000  0.0000  0.0000
O  0.0000  0.0000  0.3204
Ta  0.5000  0.0000  0.5000
Ta  0.0000  0.0000  0.0000



[4]
First-principles (PBE) data for a geometry-optimized Ta2O5 structure, as listed in Alexandria.

Calculated values
The raw formation energy is -2.732 eV per atom. The symmetry is C2/c, No. 15. As for the total DFT energy (no corrections): -9.6596 eV/atom. The calculation puts the total magnetization at 0.000 μB per atom.

a = 4.7653 Å, b = 5.2751 Å, c = 6.1688 Å
α = 97.21°, β = 112.72°, γ = 90.00°
Element x y z (fractional)
O  0.8178  0.5856  0.8196
O  0.1822  0.4144  0.1804
O  0.8029  0.3270  0.4316
O  0.5527  0.2500  0.0000
O  0.3713  0.1730  0.5684
O  0.0018  0.0856  0.8196
O  0.4473  0.7500  0.0000
O  0.9982  0.9144  0.1804
O  0.1971  0.6730  0.5684
O  0.6287  0.8270  0.4316
Ta  0.3843  0.0845  0.2344
Ta  0.1499  0.4155  0.7656
Ta  0.8501  0.5845  0.2344
Ta  0.6157  0.9155  0.7656



[5]
First-principles (PBE) data for a geometry-optimized Ta2O5 structure, as listed in Alexandria.

Calculated values
The raw formation energy is -2.794 eV per atom. The symmetry is Pmma, No. 51. As for the total DFT energy (no corrections): -9.7220 eV/atom. The calculation puts the total magnetization at 0.000 μB per atom.

a = 3.8761 Å, b = 6.2238 Å, c = 7.4343 Å
α = 90.00°, β = 90.00°, γ = 90.00°
Element x y z (fractional)
O  0.5000  0.4354  0.7500
O  0.5000  0.0000  0.5000
O  0.0000  0.3123  0.4346
O  0.5000  0.5646  0.2500
O  0.0000  0.3123  0.0654
O  0.0000  0.8763  0.2500
O  0.0000  0.6877  0.9346
O  0.5000  0.0000  0.0000
O  0.0000  0.6877  0.5654
O  0.0000  0.1237  0.7500
Ta  0.0000  0.4685  0.7500
Ta  0.0000  0.5315  0.2500
Ta  0.0000  0.0000  0.0000
Ta  0.0000  0.0000  0.5000



[6]
First-principles (PBE) data for a geometry-optimized Ta2O5 structure, as listed in Alexandria.

Calculated values
The raw formation energy is -2.710 eV per atom. The symmetry is C2/m, No. 12. As for the total DFT energy (no corrections): -9.6380 eV/atom. The calculation puts the total magnetization at 0.000 μB per atom.

a = 18.2775 Å, b = 18.2775 Å, c = 3.8408 Å
α = 89.93°, β = 89.93°, γ = 12.50°
Element x y z (fractional)
O  0.1818  0.1818  0.5014
O  0.0686  0.0686  0.5032
O  0.0000  0.0000  0.0000
O  0.6352  0.6352  0.5022
O  0.3042  0.3042  0.9990
O  0.5000  0.0000  0.5000
O  0.4464  0.4464  0.9958
O  0.3648  0.3648  0.4978
O  0.9314  0.9314  0.4968
O  0.1141  0.1141  0.0027
O  0.6958  0.6958  0.0010
O  0.8859  0.8859  0.9973
O  0.8182  0.8182  0.4986
O  0.0000  0.5000  0.5000
O  0.5536  0.5536  0.0042
Ta  0.9474  0.9474  0.9970
Ta  0.0526  0.0526  0.0030
Ta  0.1287  0.1287  0.5026
Ta  0.2949  0.2949  0.4992
Ta  0.7051  0.7051  0.5008
Ta  0.8713  0.8713  0.4974



[7]
First-principles (PBE) data for a geometry-optimized TaO structure, as listed in Alexandria.

Calculated values
The raw formation energy is -1.722 eV per atom. The symmetry is I4/m, No. 87. As for the total DFT energy (no corrections): -10.1275 eV/atom. The calculation puts the total magnetization at 0.000 μB per atom.

a = 8.5007 Å, b = 8.5007 Å, c = 3.1348 Å
α = 90.00°, β = 90.00°, γ = 90.00°
Element x y z (fractional)
O  0.7206  0.6097  0.5000
O  0.7794  0.8903  0.0000
O  0.1097  0.7794  0.0000
O  0.2206  0.1097  0.0000
O  0.6097  0.2794  0.5000
O  0.3903  0.7206  0.5000
O  0.2794  0.3903  0.5000
O  0.8903  0.2206  0.0000
Ta  0.8960  0.6701  0.0000
Ta  0.6701  0.1040  0.0000
Ta  0.1701  0.6040  0.5000
Ta  0.3960  0.1701  0.5000
Ta  0.6040  0.8299  0.5000
Ta  0.8299  0.3960  0.5000
Ta  0.1040  0.3299  0.0000
Ta  0.3299  0.8960  0.0000



[8]
First-principles (PBE) data for a geometry-optimized Ta2O5 structure, as listed in Alexandria.

Calculated values
The raw formation energy is -2.838 eV per atom. The symmetry is C2/m, No. 12. As for the total DFT energy (no corrections): -9.7664 eV/atom. The calculation puts the total magnetization at 0.000 μB per atom.

a = 3.8698 Å, b = 3.9100 Å, c = 6.8439 Å
α = 90.29°, β = 106.44°, γ = 90.00°
Element x y z (fractional)
Ta  0.1457  0.0261  0.2915
Ta  0.8543  0.9739  0.7085
O  0.1480  0.5070  0.2966
O  0.6850  0.0016  0.3702
O  0.0000  0.0000  0.0000
O  0.3150  0.9984  0.6298
O  0.8520  0.4930  0.7034



[9]
First-principles (PBE) data for a geometry-optimized TaO structure, as listed in Alexandria.

Calculated values
The raw formation energy is -1.112 eV per atom. The symmetry is F-43m, No. 216. As for the total DFT energy (no corrections): -9.5171 eV/atom. The calculation puts the total magnetization at 0.132 μB per atom.

a = 4.8058 Å, b = 4.8058 Å, c = 4.8058 Å
α = 90.00°, β = 90.00°, γ = 90.00°
Each line ends with the local moment (μB).
Element x y z (fractional)
Ta  0.5000  0.5000  0.0000  0.16
Ta  0.5000  0.0000  0.5000  0.16
Ta  0.0000  0.0000  0.0000  0.16
Ta  0.0000  0.5000  0.5000  0.16
O  0.7500  0.7500  0.2500  0.03
O  0.2500  0.2500  0.2500  0.03
O  0.2500  0.7500  0.7500  0.03
O  0.7500  0.2500  0.7500  0.03



[10]
First-principles (PBE) data for a geometry-optimized TaO3 structure, as listed in Alexandria.

Calculated values
The raw formation energy is -1.286 eV per atom. The symmetry is P6_3/mmc, No. 194. As for the total DFT energy (no corrections): -7.9677 eV/atom. For the energy relative to the lowest polymorph listed for this composition, the calculation gives 3.89 eV per formula unit. The calculation puts the total magnetization at 0.231 μB per atom.

a = 4.6877 Å, b = 4.6877 Å, c = 3.7078 Å
α = 90.00°, β = 90.00°, γ = 120.00°
Each line ends with the local moment (μB).
Element x y z (fractional)
O  0.1803  0.8197  0.2500  0.30
O  0.3607  0.1803  0.7500  0.30
O  0.8197  0.6393  0.7500  0.30
O  0.1803  0.3607  0.2500  0.30
O  0.6393  0.8197  0.2500  0.30
O  0.8197  0.1803  0.7500  0.30
Ta  0.6667  0.3333  0.2500  -0.07
Ta  0.3333  0.6667  0.7500  -0.07



[11]
First-principles (PBE) data for a geometry-optimized Ta11O2 structure, as listed in Alexandria.

Calculated values
The raw formation energy is -0.539 eV per atom. The symmetry is P1, No. 1. As for the total DFT energy (no corrections): -11.3312 eV/atom. For the energy relative to the lowest polymorph listed for this composition, the calculation gives 0.00 eV per formula unit. The calculation puts the total magnetization at 0.000 μB per atom.

a = 8.1789 Å, b = 9.7369 Å, c = 7.4930 Å
α = 73.38°, β = 96.44°, γ = 131.47°
Element x y z (fractional)
Ta  0.6956  0.3393  0.8451
Ta  0.0961  0.4469  0.6064
Ta  0.9325  0.9176  0.2619
Ta  0.2707  0.9886  0.9667
Ta  0.6691  0.0944  0.7107
Ta  0.8543  0.7515  0.6475
Ta  0.5471  0.8122  0.5068
Ta  0.9572  0.0314  0.8334
Ta  0.4802  0.6518  0.8969
Ta  0.3667  0.2634  0.1396
Ta  0.1908  0.8301  0.3573
Ta  0.4587  0.5349  0.3248
Ta  0.3972  0.3902  0.7276
Ta  0.6762  0.2113  0.2774
Ta  0.0027  0.1756  0.4263
Ta  0.7410  0.4673  0.4399
Ta  0.8228  0.6254  0.0550
Ta  0.2186  0.7359  0.8121
Ta  0.1611  0.5861  0.2168
Ta  0.5937  0.9437  0.1055
Ta  0.0407  0.3040  0.0143
Ta  0.3108  0.1194  0.5563
O  0.9306  0.4681  0.0269
O  0.4279  0.9611  0.5346
O  0.7090  0.7814  0.0790
O  0.9769  0.6042  0.6307



[12]
First-principles (PBE) data for a geometry-optimized TaO structure, as listed in Alexandria.

Calculated values
The raw formation energy is -1.511 eV per atom. The symmetry is P6_3/m, No. 176. As for the total DFT energy (no corrections): -9.9160 eV/atom. The calculation puts the total magnetization at 0.000 μB per atom.

a = 8.1945 Å, b = 8.1945 Å, c = 2.8828 Å
α = 90.00°, β = 90.00°, γ = 120.00°
Element x y z (fractional)
O  0.5108  0.6417  0.7500
O  0.4892  0.3583  0.2500
O  0.6417  0.1310  0.2500
O  0.8690  0.5108  0.2500
O  0.3583  0.8690  0.7500
O  0.1310  0.4892  0.7500
Ta  0.9288  0.2891  0.2500
Ta  0.0712  0.7109  0.7500
Ta  0.2891  0.3603  0.7500
Ta  0.7109  0.6397  0.2500
Ta  0.3603  0.0712  0.2500
Ta  0.6397  0.9288  0.7500



[13]
First-principles (PBE) data for a geometry-optimized Ta2O5 structure, as listed in Alexandria.

Calculated values
The raw formation energy is -2.782 eV per atom. The symmetry is Cm, No. 8. As for the total DFT energy (no corrections): -9.7098 eV/atom. The calculation puts the total magnetization at 0.000 μB per atom.

a = 7.2910 Å, b = 7.2910 Å, c = 7.2113 Å
α = 62.66°, β = 62.66°, γ = 58.02°
Element x y z (fractional)
Ta  0.7300  0.7300  0.5226
Ta  0.2360  0.2360  0.0114
Ta  0.7682  0.2399  0.0087
Ta  0.7767  0.7767  0.9699
Ta  0.3005  0.3005  0.4182
Ta  0.2399  0.7682  0.0087
O  0.0515  0.0515  0.1091
O  0.1547  0.5552  0.9614
O  0.1852  0.1852  0.3325
O  0.4200  0.8064  0.7063
O  0.5552  0.1547  0.9614
O  0.7041  0.7041  0.2880
O  0.4634  0.4634  0.1288
O  0.4454  0.8615  0.0290
O  0.0846  0.6225  0.3424
O  0.8215  0.8215  0.6734
O  0.9504  0.9504  0.9164
O  0.6225  0.0846  0.3424
O  0.8064  0.4200  0.7063
O  0.8615  0.4454  0.0290
O  0.2709  0.2709  0.7055



[14]
First-principles (PBE) data for a geometry-optimized Ta2O5 structure, as listed in Alexandria.

Calculated values
The raw formation energy is -2.830 eV per atom. The symmetry is C2/c, No. 15. As for the total DFT energy (no corrections): -9.7579 eV/atom. The calculation puts the total magnetization at 0.000 μB per atom.

a = 6.9286 Å, b = 6.9286 Å, c = 5.5986 Å
α = 77.70°, β = 77.70°, γ = 41.67°
Element x y z (fractional)
O  0.6620  0.5616  0.0167
O  0.1088  0.8912  0.2500
O  0.2732  0.1363  0.8724
O  0.7268  0.8637  0.1276
O  0.8912  0.1088  0.7500
O  0.8637  0.7268  0.6276
O  0.3380  0.4384  0.9833
O  0.4384  0.3380  0.4833
O  0.1363  0.2732  0.3724
O  0.5616  0.6620  0.5167
Ta  0.3874  0.8946  0.2308
Ta  0.1054  0.6126  0.2692
Ta  0.6126  0.1054  0.7692
Ta  0.8946  0.3874  0.7308



[15]
First-principles (PBE) data for a geometry-optimized Ta2O5 structure, as listed in Alexandria.

Calculated values
The raw formation energy is -2.780 eV per atom. The symmetry is Cmcm, No. 63. As for the total DFT energy (no corrections): -9.7079 eV/atom. The calculation puts the total magnetization at 0.000 μB per atom.

a = 5.4475 Å, b = 5.4475 Å, c = 10.3792 Å
α = 90.00°, β = 90.00°, γ = 138.80°
Element x y z (fractional)
O  0.5460  0.4540  0.1111
O  0.4540  0.5460  0.8889
O  0.1798  0.8202  0.5436
O  0.8202  0.1798  0.0436
O  0.5460  0.4540  0.3889
O  0.3129  0.6871  0.2500
O  0.8202  0.1798  0.4564
O  0.4540  0.5460  0.6111
O  0.6871  0.3129  0.7500
O  0.1798  0.8202  0.9564
Ta  0.6314  0.3686  0.5720
Ta  0.3686  0.6314  0.0720
Ta  0.6314  0.3686  0.9280
Ta  0.3686  0.6314  0.4280



[16]
First-principles (PBE) data for a geometry-optimized Ta2O5 structure, as listed in Alexandria.

Calculated values
The raw formation energy is -2.782 eV per atom. The symmetry is Pbam, No. 55. As for the total DFT energy (no corrections): -9.7097 eV/atom. The calculation puts the total magnetization at 0.000 μB per atom.

a = 3.6129 Å, b = 5.7726 Å, c = 12.0122 Å
α = 90.00°, β = 90.00°, γ = 90.00°
Element x y z (fractional)
Ta  0.5000  0.8429  0.1418
Ta  0.5000  0.3429  0.3582
Ta  0.5000  0.1571  0.8582
Ta  0.5000  0.6571  0.6418
O  0.5000  0.0000  0.0000
O  0.0000  0.7350  0.1145
O  0.5000  0.4076  0.7355
O  0.5000  0.5000  0.5000
O  0.0000  0.2650  0.8855
O  0.5000  0.9076  0.7645
O  0.0000  0.2350  0.3855
O  0.5000  0.0924  0.2355
O  0.0000  0.7650  0.6145
O  0.5000  0.5924  0.2645



[17]
First-principles (PBE) data for a geometry-optimized TaO structure, as listed in Alexandria.

Calculated values
The raw formation energy is -1.460 eV per atom. The symmetry is Pmn2_1, No. 31. As for the total DFT energy (no corrections): -9.8655 eV/atom. The calculation puts the total magnetization at 0.000 μB per atom.

a = 8.7896 Å, b = 3.6065 Å, c = 4.5574 Å
α = 90.00°, β = 90.00°, γ = 90.00°
Element x y z (fractional)
O  0.2176  0.4047  0.7062
O  0.7176  0.5953  0.2062
O  0.0000  0.6194  0.2554
O  0.7824  0.4047  0.7062
O  0.5000  0.3806  0.7554
O  0.2824  0.5953  0.2062
Ta  0.6677  0.9003  0.7891
Ta  0.1677  0.0997  0.2891
Ta  0.0000  0.5918  0.7560
Ta  0.5000  0.4082  0.2560
Ta  0.3323  0.9003  0.7891
Ta  0.8323  0.0997  0.2891



[18]
First-principles (PBE) data for a geometry-optimized Ta2O5 structure, as listed in Alexandria.

Calculated values
The raw formation energy is -2.654 eV per atom. The symmetry is Cm, No. 8. As for the total DFT energy (no corrections): -9.5818 eV/atom. The calculation puts the total magnetization at 0.000 μB per atom.

a = 6.4282 Å, b = 6.4282 Å, c = 6.9302 Å
α = 47.98°, β = 47.98°, γ = 29.66°
Element x y z (fractional)
O  0.1172  0.1172  0.4185
O  0.8363  0.8363  0.2544
O  0.2059  0.2059  0.6945
O  0.8023  0.8023  0.8684
O  0.4819  0.4819  0.3629
Ta  0.6890  0.6890  0.2320
Ta  0.8257  0.8257  0.5443



[19]
First-principles (PBE) data for a geometry-optimized TaO4 structure, as listed in Alexandria.

Calculated values
The raw formation energy is -1.235 eV per atom. The symmetry is Pm-3m, No. 221. As for the total DFT energy (no corrections): -7.5718 eV/atom. The calculation puts the total magnetization at 0.600 μB per atom.

a = 3.9694 Å, b = 3.9694 Å, c = 3.9694 Å
α = 90.00°, β = 90.00°, γ = 90.00°
Each line ends with the local moment (μB).
Element x y z (fractional)
Ta  0.5000  0.5000  0.5000  -0.07
O  0.5000  0.0000  0.5000  0.32
O  0.0000  0.0000  0.0000  1.64
O  0.5000  0.5000  0.0000  0.32
O  0.0000  0.5000  0.5000  0.32